Computed, not measured: a geometry-optimized YOs2Cl structure at the PBE level of DFT.

Geometry as extended XYZ:
```
4
Lattice="-0.3405 1.5335 3.0350 -3.0701 -2.2156 0.7750 3.4394 -3.9353 2.3742" Properties=species:S:1:pos:R:3 pbc="T T T"
Cl 0.1847 -3.0755 1.5746
Y 1.5495 -1.2009 2.7046
Os 0.0000 0.0000 0.0000
Os -1.7053 -0.3411 1.9050
```

Output
**Symmetry**: Pmmm (47)
**Excess energy over the best structure of this formula in the dataset**: 1.358 eV/f.u.
**Energy relative to the elements, uncorrected**: 47 kJ/mol of formula units

=====

Computed, not measured: a geometry-optimized PmPr2H structure at the PBE level of DFT.

Geometry as extended XYZ:
```
4
Lattice="-1.9549 -3.1398 -0.4332 -0.0680 -2.5414 2.7210 -7.8645 2.0940 4.3074" Properties=species:S:1:pos:R:3 pbc="T T T"
Pm -4.9282 -1.8022 3.2900
H -1.3499 -3.7868 1.5259
Pr -6.6832 1.4388 3.7250
Pr -1.8699 -1.2307 1.3520
```

Output
**Symmetry**: R3m (160)
**Excess energy over the best structure of this formula in the dataset**: 0.030 eV/f.u.

=====

Computed, not measured: a geometry-optimized SrGaTe2 structure at the PBE level of DFT.

Geometry as extended XYZ:
```
4
Lattice="2.4437 0.0000 9.4731 -1.2219 2.1163 9.4731 -1.2219 -2.1163 9.4731" Properties=species:S:1:pos:R:3 pbc="T T T"
Sr 0.0000 0.0000 0.0000
Te 0.0000 0.0000 25.2315
Te 0.0000 0.0000 3.1879
Ga 0.0000 0.0000 14.2097
```

Output
**Symmetry**: R-3m (166)
**Energy relative to the elements, uncorrected**: -113 kJ/mol of formula units

=====

Computed, not measured: a geometry-optimized Er8Ni2Pt structure at the PBE level of DFT.

Geometry as extended XYZ:
```
11
Lattice="-4.2230 0.1731 2.6003 0.9354 -6.1898 1.9311 5.9669 4.7159 4.6414" Properties=species:S:1:pos:R:3 pbc="T T T"
Er 1.0253 -4.5124 1.9655
Er 0.7951 -1.1920 6.1056
Er 0.1302 -4.3462 5.2358
Er 3.6663 0.5343 5.9186
Er 1.8842 -0.1087 3.0672
Er 2.5492 3.0454 3.9371
Er 1.6540 3.2117 7.2073
Er -0.9870 -1.8350 3.2543
Ni 0.5566 1.4130 5.5448
Ni 2.1228 -2.7138 3.6281
Pt -2.1115 0.0866 1.3002
```

Output
**Symmetry**: C2/m (12)
**Excess energy over the best structure of this formula in the dataset**: 0.000 eV/f.u.

=====

Computed, not measured: a geometry-optimized TaSnRh structure at the PBE level of DFT.

Geometry as extended XYZ:
```
3
Lattice="-2.4029 0.9785 1.5615 -1.5423 -2.4722 -0.8241 3.8865 -2.0035 4.3000" Properties=species:S:1:pos:R:3 pbc="T T T"
Ta 0.0375 -0.0539 0.0915
Rh -1.3396 -1.6564 1.9128
Sn 1.2435 -1.7868 3.0332
```

Output
**Symmetry**: I4mm (107)
**Calculated total energy**: -23.86 eV for the cell shown

=====

Computed, not measured: a geometry-optimized Tb4Ho4Tm structure at the PBE level of DFT.

Geometry as extended XYZ:
```
9
Lattice="-4.3417 -0.0726 2.4448 -5.5328 -2.8900 -4.8328 -0.6826 -6.9613 3.6598" Properties=species:S:1:pos:R:3 pbc="T T T"
Tb -4.9645 -3.3246 1.2422
Tb -6.6373 -5.6807 3.2803
Tb -3.9198 -4.2433 -2.0085
Tb -5.5926 -6.5993 0.0296
Ho -8.8806 -7.5846 -0.7601
Ho -6.5856 -1.9786 -1.5966
Ho -3.9716 -7.9454 2.8684
Ho -1.6765 -2.3394 2.0319
Tm 0.0000 0.0000 0.0000
```

Output
**Symmetry**: I4/mmm (139)
**Excess energy over the best structure of this formula in the dataset**: 0.000 eV/f.u.

=====

Computed, not measured: a geometry-optimized LuSnIr4 structure at the PBE level of DFT.

Geometry as extended XYZ:
```
6
Lattice="-3.4339 4.0044 -0.6319 -2.3804 2.1513 4.2346 1.3123 4.8993 1.5815" Properties=species:S:1:pos:R:3 pbc="T T T"
Ir -2.8151 6.9126 3.2417
Ir -1.6221 5.8344 1.1194
Ir -1.0941 4.9057 3.5584
Ir -3.4728 4.4572 2.4491
Lu -1.1255 2.7637 1.2961
Sn 0.0000 0.0000 0.0000
```

Output
**Symmetry**: F-43m (216)
**Calculated total energy**: -45.99 eV for the cell shown

=====

Computed, not measured: a geometry-optimized BaPmIO2 structure at the PBE level of DFT.

Geometry as extended XYZ:
```
10
Lattice="-4.2175 -1.1166 -0.7423 2.1634 -7.2541 -1.3795 -1.6483 0.6612 8.3699" Properties=species:S:1:pos:R:3 pbc="T T T"
Ba -2.5758 -3.1721 -0.3818
Ba -1.1266 -4.5374 6.6300
O -1.0208 -3.2771 4.1333
O -2.6815 -4.4324 2.1148
O -3.4866 -3.8960 5.8816
O -0.2158 -3.8135 0.3665
I -1.5282 -7.6396 0.3863
I -2.1742 -0.0699 5.8618
Pm -0.3614 -4.6161 2.4012
Pm -3.3410 -3.0933 3.8470
```

Output
**Symmetry**: P2_1/m (11)
**Energy relative to the elements, uncorrected**: -1311 kJ/mol of formula units

=====

Computed, not measured: a geometry-optimized Dy2Ge5Os3 structure at the PBE level of DFT.

Geometry as extended XYZ:
```
20
Lattice="-3.6681 3.1507 -3.2670 -7.8267 -0.3263 3.2608 -1.6501 7.4111 3.7880" Properties=species:S:1:pos:R:3 pbc="T T T"
Ge -8.0789 2.2672 0.8332
Ge -9.1874 7.0554 4.0895
Ge -2.2336 5.7167 2.8091
Ge -2.1234 1.6047 1.3258
Ge -5.0660 7.9683 2.9486
Ge -3.9575 3.1801 -0.3078
Ge -10.9112 4.5187 0.9727
Ge -7.4894 5.9054 1.0741
Ge -11.0214 8.6307 2.4560
Ge -5.6554 4.3301 2.7076
Os -6.2976 3.7970 0.3087
Os -6.8472 6.4385 3.4731
Os -9.8570 6.5409 1.7392
Os -2.7510 2.3630 -2.4503
Os -3.2878 3.6946 2.0425
Os -0.9170 0.7877 -0.8168
Dy -4.3259 6.3440 0.5513
Dy -5.3394 1.2017 1.9417
Dy -7.8055 9.0338 1.8400
Dy -8.8189 3.8915 3.2305
```

Output
**Symmetry**: Ibam (72)
**Calculated total energy**: -140.90 eV for the cell shown

=====

Computed, not measured: a geometry-optimized ZnRh2C structure at the PBE level of DFT.

Geometry as extended XYZ:
```
4
Lattice="0.0000 2.8955 2.8955 2.8955 0.0000 2.8955 2.8955 2.8955 0.0000" Properties=species:S:1:pos:R:3 pbc="T T T"
Rh 1.4477 1.4477 1.4477
Rh 4.3432 4.3432 4.3432
Zn 2.8955 2.8955 2.8955
C 0.0000 0.0000 0.0000
```

Output
**Symmetry**: Fm-3m (225)
**Excess energy over the best structure of this formula in the dataset**: 2.769 eV/f.u.

=====

Computed, not measured: a geometry-optimized Pu3Ge6Pd2Rh structure at the PBE level of DFT.

Geometry as extended XYZ:
```
12
Lattice="-3.7268 -4.0319 2.1438 5.7870 -1.1108 -0.1317 0.7622 3.1182 7.1897" Properties=species:S:1:pos:R:3 pbc="T T T"
Pu 2.6757 -1.8393 1.1922
Pu 0.0000 0.0000 0.0000
Pu 0.1468 -0.1853 8.0095
Rh 0.3811 1.5591 3.5948
Pd -0.1501 -1.3996 5.2096
Pd 2.9726 -0.6250 3.9921
Ge 0.8516 -3.1520 3.6550
Ge 4.6188 0.6192 5.4864
Ge 1.9709 1.1274 5.5467
Ge 2.9136 -1.2257 6.4673
Ge -0.0911 -0.7989 2.7344
Ge -1.7963 -2.6437 3.7153
```

Output
**Symmetry**: P-3m1 (164)
**Calculated total energy**: -90.78 eV for the cell shown

=====

Computed, not measured: a geometry-optimized Fe2WBr structure at the PBE level of DFT.

Geometry as extended XYZ:
```
4
Lattice="0.0000 3.0673 3.0673 3.0673 0.0000 3.0673 3.0673 3.0673 0.0000" Properties=species:S:1:pos:R:3 pbc="T T T"
W 3.0673 3.0673 3.0673
Fe 4.6010 4.6010 4.6010
Fe 1.5337 1.5337 1.5337
Br 0.0000 0.0000 0.0000
```

Output
**Symmetry**: Fm-3m (225)
**Excess energy over the best structure of this formula in the dataset**: 2.613 eV/f.u.
**Energy relative to the elements, uncorrected**: 434 kJ/mol of formula units

=====

Computed, not measured: a geometry-optimized K2PuCl4F2 structure at the PBE level of DFT.

Geometry as extended XYZ:
```
9
Lattice="5.5839 -0.0935 -0.0636 1.1429 6.7956 0.0718 1.1429 2.5620 6.2946" Properties=species:S:1:pos:R:3 pbc="T T T"
F 1.4959 1.3116 0.8924
F 6.3737 7.9525 5.4105
K 5.3312 3.0048 2.0443
K 2.5385 6.2593 4.2585
Cl 5.3102 6.6228 2.2869
Cl 5.3102 4.5589 5.3205
Cl 2.5595 2.6414 4.0159
Cl 2.5595 4.7052 0.9823
Pu 2.7919 -0.0467 -0.0318
```

Output
**Symmetry**: C2/m (12)
**Energy relative to the elements, uncorrected**: -2010 kJ/mol of formula units

=====

Computed, not measured: a geometry-optimized K2BeSiAu6 structure at the PBE level of DFT.

Geometry as extended XYZ:
```
10
Lattice="-4.2922 5.3122 -0.0671 -1.8759 -1.4334 6.3842 0.4659 4.7640 4.8156" Properties=species:S:1:pos:R:3 pbc="T T T"
Au -4.4869 7.7198 9.1575
Au -4.6792 5.7048 7.1595
Au -1.2154 0.9229 1.9752
Au -1.9968 0.3287 4.6188
Au -3.7054 8.3140 6.5140
Au -1.0231 2.9380 3.9732
K -2.8778 5.8429 4.0857
K -2.8245 2.7999 7.0470
Be -3.0840 1.9394 3.1586
Si 0.0000 0.0000 0.0000
```

Output
**Symmetry**: P-1 (2)
**Energy relative to the elements, uncorrected**: -238 kJ/mol of formula units

=====

Computed, not measured: a geometry-optimized TbNdAlSn structure at the PBE level of DFT.

Geometry as extended XYZ:
```
4
Lattice="5.3281 0.0000 0.0000 2.6640 4.6143 0.0000 2.6640 1.5381 4.3504" Properties=species:S:1:pos:R:3 pbc="T T T"
Nd 5.3281 3.0762 2.1752
Tb 0.0000 0.0000 0.0000
Al 7.9921 4.6143 3.2628
Sn 2.6640 1.5381 1.0876
```

Output
**Symmetry**: F-43m (216)
**Calculated total energy**: -18.92 eV for the cell shown

=====

Computed, not measured: a geometry-optimized KSbOs4 structure at the PBE level of DFT.

Geometry as extended XYZ:
```
6
Lattice="-0.9782 -4.1591 3.2461 1.0895 0.3728 5.2408 -4.0054 0.2600 3.5611" Properties=species:S:1:pos:R:3 pbc="T T T"
Os -0.9193 -1.1382 7.1344
Os -1.9494 -3.3960 6.1406
Os -3.4575 -1.1944 6.2976
Os -1.4620 -1.3240 4.5235
Sb -2.9206 -2.6448 9.0360
K 0.0000 0.0000 0.0000
```

Output
**Symmetry**: F-43m (216)
**Energy relative to the elements, uncorrected**: 607 kJ/mol of formula units

=====

Computed, not measured: a geometry-optimized Si2SbOs structure at the PBE level of DFT.

Geometry as extended XYZ:
```
4
Lattice="4.2604 -0.0015 0.1674 3.1059 2.9162 0.1674 1.6988 0.6722 5.9983" Properties=species:S:1:pos:R:3 pbc="T T T"
Si 8.7335 3.4557 5.7153
Si 6.7200 2.6590 4.6336
Sb 2.5778 1.0200 1.8848
Os 4.6312 1.8325 3.5990
```

Output
**Symmetry**: Cm (8)
**Energy relative to the elements, uncorrected**: 61 kJ/mol of formula units

=====

Computed, not measured: a geometry-optimized Ta2Ti5Ga5 structure at the PBE level of DFT.

Geometry as extended XYZ:
```
12
Lattice="-0.3729 -2.8216 2.5549 -2.3282 -2.0604 -5.4781 9.6454 -0.4675 0.8917" Properties=species:S:1:pos:R:3 pbc="T T T"
Ga 0.0000 0.0000 0.0000
Ga 6.0268 -3.5163 -0.1409
Ga 3.8661 -1.3891 -0.9698
Ga 3.0781 -3.9604 -1.0617
Ga 0.9174 -1.8332 -1.8907
Ti 4.6362 -1.6446 1.7233
Ti -1.6147 -2.3816 -2.8659
Ti 5.2441 -3.1670 -2.7321
Ti 8.5589 -2.9679 0.8344
Ti 1.7001 -2.1825 0.7006
Ta 6.7523 -0.9230 -0.0337
Ta 0.1919 -4.4265 -1.9978
```

Output
**Symmetry**: C2/m (12)
**Calculated total energy**: -81.71 eV for the cell shown

=====

Computed, not measured: a geometry-optimized HgSbTeN2 structure at the PBE level of DFT.

Geometry as extended XYZ:
```
5
Lattice="4.1221 0.0000 0.0000 0.0000 4.1221 0.0000 0.0000 0.0000 6.4053" Properties=species:S:1:pos:R:3 pbc="T T T"
Hg 2.0611 2.0611 3.2026
Sb 0.0000 0.0000 0.0000
Te 0.0000 0.0000 3.2026
N 2.0611 0.0000 0.0000
N 0.0000 2.0611 0.0000
```

Output
**Symmetry**: P4/mmm (123)
**Excess energy over the best structure of this formula in the dataset**: 0.000 eV/f.u.
**Energy relative to the elements, uncorrected**: 561 kJ/mol of formula units

=====

Computed, not measured: a geometry-optimized Ti4RePd structure at the PBE level of DFT.

Geometry as extended XYZ:
```
6
Lattice="3.1435 -0.0006 0.0002 0.0006 3.1435 0.0002 -0.0004 -0.0004 9.6213" Properties=species:S:1:pos:R:3 pbc="T T T"
Pd 1.5719 1.5713 4.8108
Ti 0.0000 0.0000 3.1998
Ti 1.5716 1.5710 8.1208
Ti 1.5721 1.5715 1.5009
Ti 3.1438 3.1426 6.4219
Re 0.0000 0.0000 0.0000
```

Output
**Symmetry**: P4/mmm (123)
**Excess energy over the best structure of this formula in the dataset**: 0.000 eV/f.u.

=====

Computed, not measured: a geometry-optimized CeAgTe2 structure at the PBE level of DFT.

Geometry as extended XYZ:
```
4
Lattice="-2.3357 1.5232 -2.8532 3.3267 -1.5480 -3.5497 -2.4623 -4.4574 -0.3638" Properties=species:S:1:pos:R:3 pbc="T T T"
Ce -0.7356 -2.2411 -3.3834
Te 1.6634 -0.7740 -1.7749
Te -1.2311 -2.2287 -0.1819
Ag -1.1678 0.7616 -1.4266
```

Output
**Symmetry**: P4/mmm (123)
**Energy relative to the elements, uncorrected**: -293 kJ/mol of formula units

=====

Computed, not measured: a geometry-optimized RePt2Br structure at the PBE level of DFT.

Geometry as extended XYZ:
```
4
Lattice="5.1533 -0.0076 -0.0024 4.3076 2.8285 -0.0024 0.3788 0.1130 4.5919" Properties=species:S:1:pos:R:3 pbc="T T T"
Re 2.4599 0.7335 1.1468
Pt 9.2010 2.7434 0.0746
Pt 5.1798 1.5444 2.2142
Br 7.3798 2.2004 3.4404
```

Output
**Symmetry**: C2/m (12)
**Excess energy over the best structure of this formula in the dataset**: 2.178 eV/f.u.
**Energy relative to the elements, uncorrected**: 298 kJ/mol of formula units

=====

Computed, not measured: a geometry-optimized Na3CoS structure at the PBE level of DFT.

Geometry as extended XYZ:
```
5
Lattice="-0.4912 -3.1181 -4.2111 4.2309 -2.7312 1.5288 -3.0912 -3.2427 2.7616" Properties=species:S:1:pos:R:3 pbc="T T T"
S 0.3242 -4.5460 0.0397
Co 0.0000 0.0000 0.0000
Na 2.1154 -1.3656 0.7644
Na -1.5456 -1.6213 1.3808
Na -0.2456 -1.5591 -2.1055
```

Output
**Symmetry**: Pm-3m (221)
**Excess energy over the best structure of this formula in the dataset**: 2.212 eV/f.u.
**Energy relative to the elements, uncorrected**: 275 kJ/mol of formula units

=====

Computed, not measured: a geometry-optimized Na2SrMgBr6 structure at the PBE level of DFT.

Geometry as extended XYZ:
```
10
Lattice="6.1690 0.0000 0.0000 0.0000 7.8553 0.0000 0.0000 0.0000 7.8553" Properties=species:S:1:pos:R:3 pbc="T T T"
Br 4.5545 6.0236 6.0236
Br 0.9517 3.9276 3.9276
Br 4.5545 6.0236 1.8316
Br 4.5545 1.8316 6.0236
Br 4.5545 1.8316 1.8316
Br 1.3732 0.0000 0.0000
Sr 3.9144 3.9276 3.9276
Na 5.7412 3.9276 0.0000
Na 5.7412 0.0000 3.9276
Mg 3.8301 0.0000 0.0000
```

Output
**Symmetry**: P4mm (99)
**Energy relative to the elements, uncorrected**: -1528 kJ/mol of formula units

=====

Computed, not measured: a geometry-optimized Dy3Y2Te8 structure at the PBE level of DFT.

Geometry as extended XYZ:
```
13
Lattice="-2.2096 5.5618 4.5217 -5.9872 2.3755 -5.8475 -1.1018 -7.4393 4.5773" Properties=species:S:1:pos:R:3 pbc="T T T"
Y -6.5162 1.7891 0.9273
Y -2.7823 -1.2912 2.3242
Te -5.9026 -0.8651 2.4351
Te -3.0137 3.5760 4.5384
Te -6.2848 -3.0780 -1.2869
Te -5.9437 4.7171 1.5305
Te -3.3548 -4.2191 1.7210
Te -2.8893 -2.0607 5.3781
Te -3.3960 1.3631 0.8165
Te -6.4093 2.5587 -2.1266
Dy -4.4474 1.7645 -4.3436
Dy -1.5398 0.6109 -1.5039
Dy -1.1048 2.7809 2.2609
```

Output
**Symmetry**: C2/m (12)
**Energy relative to the elements, uncorrected**: -1583 kJ/mol of formula units

=====

Computed, not measured: a geometry-optimized KBaTeI2 structure at the PBE level of DFT.

Geometry as extended XYZ:
```
5
Lattice="6.7585 0.0000 0.0000 0.0000 6.7585 0.0000 0.0000 0.0000 6.7534" Properties=species:S:1:pos:R:3 pbc="T T T"
K 3.3792 3.3792 3.3767
I 3.3792 0.0000 0.0000
I 0.0000 3.3792 0.0000
Te 0.0000 0.0000 3.3767
Ba 0.0000 0.0000 0.0000
```

Output
**Symmetry**: P4/mmm (123)
**Excess energy over the best structure of this formula in the dataset**: 0.000 eV/f.u.
**Energy relative to the elements, uncorrected**: -523 kJ/mol of formula units